# 1
DFT (PBE-GGA) results for a relaxed BPRhC crystal.

Structure (POSCAR):
```
BPRhC
1.0
2.812 0.010 0.021
1.418 3.550 0.005
1.390 -0.087 4.751
B C Rh P
1 1 1 1
direct
0.926 0.161 0.293 B
0.387 0.119 0.413 C
0.805 0.666 0.028 Rh
0.210 0.087 0.795 P
```

Output
Magnetization (μB per atom): 0.000
Energy (eV/atom): -7.096
E above lowest polymorph (meV per atom): 22.3



# 2
DFT (PBE-GGA) results for a relaxed Ho2Cd17 crystal.

Structure (POSCAR):
```
Ho2Cd17
1.0
7.569 -0.002 1.082
0.938 7.511 1.082
-0.002 -0.002 7.646
Cd Ho
17 2
direct
0.362 0.362 0.838 Cd
0.102 0.102 0.102 Cd
0.500 0.000 0.000 Cd
0.162 0.638 0.638 Cd
0.638 0.638 0.162 Cd
0.362 0.838 0.362 Cd
0.000 0.500 0.000 Cd
0.000 0.303 0.697 Cd
0.000 0.000 0.500 Cd
0.303 0.000 0.697 Cd
0.838 0.362 0.362 Cd
0.697 0.000 0.303 Cd
0.303 0.697 0.000 Cd
0.638 0.162 0.638 Cd
0.000 0.697 0.303 Cd
0.697 0.303 0.000 Cd
0.898 0.898 0.898 Cd
0.328 0.328 0.328 Ho
0.672 0.672 0.672 Ho
```

Output
Magnetization (μB per atom): 0.000
Energy (eV/atom): -1.386



# 3
DFT (PBE-GGA) results for a relaxed CsAc2CuF8 crystal.

Structure (POSCAR):
```
CsAc2CuF8
1.0
-1.419 -3.513 -2.283
5.222 0.888 -4.607
3.290 -4.960 5.587
Ac Cs F Cu
2 1 8 1
direct
0.500 0.551 0.763 Ac
0.500 0.449 0.237 Ac
0.000 0.000 0.500 Cs
0.000 0.401 0.724 F
0.500 0.296 0.483 F
0.500 0.704 0.517 F
0.000 0.204 0.189 F
0.000 0.599 0.276 F
0.000 0.796 0.811 F
0.500 0.298 0.935 F
0.500 0.702 0.065 F
0.000 0.000 0.000 Cu
```

Output
Magnetization (μB per atom): 0.011
Energy (eV/atom): -5.746
Energy relative to the elements, uncorrected (eV per atom): -3.402



# 4
DFT (PBE-GGA) results for a relaxed TiTeAs crystal.

Structure (POSCAR):
```
TiTeAs
1.0
-2.349 -2.474 0.080
2.703 -2.473 2.875
-3.106 3.006 1.734
As Te Ti
1 1 1
direct
0.667 0.667 0.333 As
0.166 0.333 0.667 Te
0.167 0.000 0.000 Ti
```

Output
Magnetization (μB per atom): 0.000
Energy (eV/atom): -5.286
Energy relative to the elements, uncorrected (eV per atom): -0.057